This record from Alexandria describes crystalline In2Bi2Pd3 at its relaxed geometry. The functional is GGA-PBE.

It has space group C2/m (No. 12), with a = 7.985 Å, b = 4.636 Å, c = 8.863 Å, α = 90.00°, β = 107.59° and γ = 90.00°. The distinct sites, in fractional coordinates, are In at (0.125, 0.000, 0.378), Bi at (0.123, 0.500, 0.864), Pd at (0.000, 0.500, 0.500) and Pd at (0.242, 0.000, 0.721).

As for the calculated total energy: -4.467 eV/atom.

This record from Alexandria describes crystalline InBi2Pd at its relaxed geometry. The functional is GGA-PBE.

It has space group P4/mmm (No. 123), with a = 3.399 Å, b = 3.399 Å, c = 9.021 Å, α = 90.00°, β = 90.00° and γ = 90.00°. The distinct sites, in fractional coordinates, are In at (0.000, 0.000, 0.000), Bi at (0.500, 0.500, 0.298) and Pd at (0.000, 0.000, 0.500).

As for the calculated total energy: -4.061 eV/atom.

This record from Alexandria describes crystalline InBiPd2 at its relaxed geometry. The functional is GGA-PBE.

It has space group P4/mmm (No. 123), with a = 3.363 Å, b = 3.363 Å, c = 7.065 Å, α = 90.00°, β = 90.00° and γ = 90.00°. The distinct sites, in fractional coordinates, are In at (0.000, 0.000, 0.000), Bi at (0.000, 0.000, 0.500) and Pd at (0.500, 0.500, 0.217).

As for the calculated total energy: -4.612 eV/atom.

This record from Alexandria describes crystalline In2BiPd2 at its relaxed geometry. The functional is GGA-PBE.

It has space group I4/mmm (No. 139), with a = 4.141 Å, b = 4.141 Å, c = 12.847 Å, α = 90.00°, β = 90.00° and γ = 90.00°. The distinct sites, in fractional coordinates, are In at (0.000, 0.500, 0.250), Bi at (0.000, 0.000, 0.000) and Pd at (0.000, 0.000, 0.393).

For the distance to the lowest polymorph of the same formula, the calculation gives 111 meV/atom.

This record from Alexandria describes crystalline InBi3Pd at its relaxed geometry. The functional is GGA-PBE.

It has space group Pm-3m (No. 221), with a = 5.451 Å, b = 5.451 Å, c = 5.451 Å, α = 90.00°, β = 90.00° and γ = 90.00°. The distinct sites, in fractional coordinates, are In at (0.000, 0.000, 0.000), Bi at (0.000, 0.500, 0.500) and Pd at (0.500, 0.500, 0.500).

For the distance to the lowest polymorph of the same formula, the calculation gives 356 meV/atom.

This record from Alexandria describes crystalline InBiPd at its relaxed geometry. The functional is GGA-PBE.

It has space group P3m1 (No. 156), with a = 4.4210 Å, b = 4.4210 Å, c = 4.4402 Å, α = 90.00°, β = 90.00° and γ = 120.00°. The distinct sites, in fractional coordinates, are In at (0.0000, 0.0000, 0.0000), Bi at (0.3333, 0.6667, 0.4735) and Pd at (0.6667, 0.3333, 0.7738).

As for the calculated total energy: -4.057 eV/atom.

This record from Alexandria describes crystalline InBiPd at its relaxed geometry. The functional is GGA-PBE.

It has space group C2/m (No. 12), with a = 6.619 Å, b = 6.619 Å, c = 7.632 Å, α = 90.00°, β = 115.54° and γ = 90.00°. The distinct sites, in fractional coordinates, are In at (0.000, 0.249, 0.000), Bi at (0.250, 0.250, 0.500) and Pd at (0.142, 0.500, 0.783).

As for the calculated total energy: -4.180 eV/atom.

This record from Alexandria describes crystalline InBi2Pd7 at its relaxed geometry. The functional is GGA-PBE.

It has space group Cmmm (No. 65), with a = 7.527 Å, b = 15.055 Å, c = 3.825 Å, α = 90.00°, β = 90.00° and γ = 90.00°. The distinct sites, in fractional coordinates, are In at (0.000, 0.000, 0.000), Bi at (0.000, 0.315, 0.500), Pd at (0.000, 0.191, 0.000), Pd at (0.000, 0.500, 0.500) and Pd at (0.187, 0.095, 0.500).

As for the calculated total energy: -4.726 eV/atom.

This record from Alexandria describes crystalline InBiPd2 at its relaxed geometry. The functional is GGA-PBE.

It has space group I-42d (No. 122), with a = 4.481 Å, b = 4.481 Å, c = 18.041 Å, α = 90.00°, β = 90.00° and γ = 90.00°. The distinct sites, in fractional coordinates, are In at (0.000, 0.000, 0.000), Bi at (0.000, 0.000, 0.500) and Pd at (0.246, 0.250, 0.125).

As for the calculated total energy: -4.341 eV/atom.

This record from Alexandria describes crystalline In2BiPd at its relaxed geometry. The functional is GGA-PBE.

It has space group R-3m (No. 166, hexagonal axes), with a = 4.2096 Å, b = 4.2096 Å, c = 20.0803 Å, α = 90.00°, β = 90.00° and γ = 120.00°. The distinct sites, in fractional coordinates, are In at (0.0000, 0.0000, 0.2316), Bi at (0.0000, 0.0000, 0.0000) and Pd at (0.0000, 0.0000, 0.5000).

As for the calculated total energy: -3.711 eV/atom.

This record from Alexandria describes crystalline InBiPd2 at its relaxed geometry. The functional is GGA-PBE.

It has space group Pbcm (No. 57), with a = 8.486 Å, b = 7.217 Å, c = 5.719 Å, α = 90.00°, β = 90.00° and γ = 90.00°. The distinct sites, in fractional coordinates, are In at (0.127, 0.084, 0.250), Bi at (0.369, 0.588, 0.250), Pd at (0.112, 0.750, 0.000) and Pd at (0.370, 0.250, 0.000).

As for the calculated total energy: -4.622 eV/atom.

This record from Alexandria describes crystalline In2BiPd2 at its relaxed geometry. The functional is GGA-PBE.

It has space group P4/mbm (No. 127), with a = 8.284 Å, b = 8.284 Å, c = 3.075 Å, α = 90.00°, β = 90.00° and γ = 90.00°. The distinct sites, in fractional coordinates, are In at (0.133, 0.367, 0.000), Bi at (0.000, 0.000, 0.000) and Pd at (0.162, 0.662, 0.500).

For the distance to the lowest polymorph of the same formula, the calculation gives 81 meV/atom.

This record from Alexandria describes crystalline In2BiPd at its relaxed geometry. The functional is GGA-PBE.

It has space group R3m (No. 160, hexagonal axes), with a = 4.5669 Å, b = 4.5669 Å, c = 17.1501 Å, α = 90.00°, β = 90.00° and γ = 120.00°. The distinct sites, in fractional coordinates, are In at (0.0000, 0.0000, 0.0000), In at (0.0000, 0.0000, 0.2161), Bi at (0.0000, 0.0000, 0.4398) and Pd at (0.0000, 0.0000, 0.6073).

As for the calculated total energy: -3.796 eV/atom.

This record from Alexandria describes crystalline InBi3Pd12 at its relaxed geometry. The functional is GGA-PBE.

It has space group P4/mmm (No. 123), with a = 4.119 Å, b = 4.119 Å, c = 16.392 Å, α = 90.00°, β = 90.00° and γ = 90.00°. The distinct sites, in fractional coordinates, are In at (0.000, 0.000, 0.000), Bi at (0.000, 0.000, 0.243), Bi at (0.000, 0.000, 0.500), Pd at (0.000, 0.500, 0.121), Pd at (0.000, 0.500, 0.374), Pd at (0.500, 0.500, 0.000), Pd at (0.500, 0.500, 0.250) and Pd at (0.500, 0.500, 0.500).

As for the calculated total energy: -5.097 eV/atom.

This record from Alexandria describes crystalline InBi2Pd6 at its relaxed geometry. The functional is GGA-PBE.

It has space group C2/m (No. 12), with a = 10.710 Å, b = 7.765 Å, c = 4.660 Å, α = 90.00°, β = 115.57° and γ = 90.00°. The distinct sites, in fractional coordinates, are In at (0.000, 0.000, 0.000), Bi at (0.170, 0.500, 0.670), Pd at (0.000, 0.194, 0.500) and Pd at (0.161, 0.298, 0.161).

For the distance to the lowest polymorph of the same formula, the calculation gives 75 meV/atom.

This record from Alexandria describes crystalline InBi4Pd15 at its relaxed geometry. The functional is GGA-PBE.

It has space group P4/mmm (No. 123), with a = 4.129 Å, b = 4.129 Å, c = 20.506 Å, α = 90.00°, β = 90.00° and γ = 90.00°. The distinct sites, in fractional coordinates, are In at (0.000, 0.000, 0.000), Bi at (0.000, 0.000, 0.194), Bi at (0.000, 0.000, 0.398), Pd at (0.000, 0.500, 0.096), Pd at (0.000, 0.500, 0.298), Pd at (0.000, 0.500, 0.500), Pd at (0.500, 0.500, 0.000), Pd at (0.500, 0.500, 0.199) and Pd at (0.500, 0.500, 0.399).

As for the calculated total energy: -5.096 eV/atom.

This record from Alexandria describes crystalline InBiPd at its relaxed geometry. The functional is GGA-PBE.

It has space group P2_1/m (No. 11), with a = 3.383 Å, b = 4.520 Å, c = 9.492 Å, α = 90.00°, β = 100.19° and γ = 90.00°. The distinct sites, in fractional coordinates, are In at (0.069, 0.250, 0.137), Bi at (0.189, 0.750, 0.379) and Pd at (0.444, 0.250, 0.888).

As for the calculated total energy: -4.226 eV/atom.

This record from Alexandria describes crystalline InBiPd3 at its relaxed geometry. The functional is GGA-PBE.

It has space group Pm-3m (No. 221), with a = 4.945 Å, b = 4.945 Å, c = 4.945 Å, α = 90.00°, β = 90.00° and γ = 90.00°. The distinct sites, in fractional coordinates, are In at (0.000, 0.000, 0.000), Bi at (0.500, 0.500, 0.500) and Pd at (0.000, 0.000, 0.500).

For the distance to the lowest polymorph of the same formula, the calculation gives 627 meV/atom.

This record from Alexandria describes crystalline In2BiPd8 at its relaxed geometry. The functional is GGA-PBE.

It has space group C2/m (No. 12), with a = 14.573 Å, b = 4.193 Å, c = 6.414 Å, α = 90.00°, β = 105.48° and γ = 90.00°. The distinct sites, in fractional coordinates, are In at (0.216, 0.000, 0.158), Bi at (0.000, 0.500, 0.500), Pd at (0.038, 0.000, 0.227), Pd at (0.094, 0.500, 0.964), Pd at (0.152, 0.000, 0.712) and Pd at (0.178, 0.500, 0.420).

For the distance to the lowest polymorph of the same formula, the calculation gives 0 meV/atom.

This record from Alexandria describes crystalline InBi2Pd at its relaxed geometry. The functional is GGA-PBE.

It has space group R-3m (No. 166, hexagonal axes), with a = 3.3504 Å, b = 3.3504 Å, c = 34.0428 Å, α = 90.00°, β = 90.00° and γ = 120.00°. The distinct sites, in fractional coordinates, are In at (0.0000, 0.0000, 0.0000), Bi at (0.0000, 0.0000, 0.4210) and Pd at (0.0000, 0.0000, 0.5000).

As for the calculated total energy: -3.737 eV/atom.

This record from Alexandria describes crystalline InBi5Pd5 at its relaxed geometry. The functional is GGA-PBE.

It has space group C2/m (No. 12), with a = 12.160 Å, b = 5.558 Å, c = 8.732 Å, α = 90.00°, β = 110.61° and γ = 90.00°. The distinct sites, in fractional coordinates, are In at (0.000, 0.000, 0.000), Bi at (0.000, 0.000, 0.500), Bi at (0.187, 0.500, 0.324), Bi at (0.190, 0.500, 0.865), Pd at (0.000, 0.500, 0.000), Pd at (0.136, 0.000, 0.818) and Pd at (0.149, 0.000, 0.321).

As for the calculated total energy: -4.519 eV/atom.